[1]
Density functional theory data (meta-GGA SCAN) for a crystal of TeS3Br relaxed with PBEsol. Values from VASP.

Cell and atoms, written as Quantum ESPRESSO input:
```
&SYSTEM
  ibrav = 0, nat = 5, ntyp = 3
/
ATOMIC_SPECIES
Te 127.60 Te.upf
S 32.06 S.upf
Br 79.90 Br.upf
ATOMIC_POSITIONS angstrom
Te 0.0000 0.0000 0.0000
S 1.2537 1.9110 1.0242
S 1.1381 -1.5870 1.5681
S -1.8455 0.3195 1.6628
Br 0.5463 0.6435 4.2551
CELL_PARAMETERS angstrom
-3.6910 0.6389 3.3256
2.2762 -3.1740 3.1361
2.5073 3.8221 2.0484
```

Output
Electronic total energy (eV/cell): -81.66
Size of the total moment (μB per atom): 0.5615
Crystal system: cubic
E above lowest polymorph (meV per atom): 0
Raw formation energy (eV/atom): 0.787

[2]
Density functional theory data (meta-GGA SCAN) for a crystal of Te2SBr relaxed with PBEsol. Values from VASP.

Cell and atoms, written as Quantum ESPRESSO input:
```
&SYSTEM
  ibrav = 0, nat = 4, ntyp = 3
/
ATOMIC_SPECIES
Te 127.60 Te.upf
Br 79.90 Br.upf
S 32.06 S.upf
ATOMIC_POSITIONS angstrom
Te 0.0051 -1.8539 6.1944
Te 5.7771 0.6508 5.0107
Br 2.8911 -0.6015 5.6026
S 0.0000 0.0000 0.0000
CELL_PARAMETERS angstrom
-1.6332 0.4042 3.0278
-0.4691 -2.7210 2.0916
7.8845 1.1138 6.0857
```

Output
Electronic total energy (eV/cell): -102.47
Size of the total moment (μB per atom): 0.0000
Crystal system: trigonal
Raw formation energy (eV/atom): 0.279

[3]
Density functional theory data (meta-GGA SCAN) for a crystal of TiSBr2 relaxed with PBEsol. Values from VASP.

Cell and atoms, written as Quantum ESPRESSO input:
```
&SYSTEM
  ibrav = 0, nat = 8, ntyp = 3
/
ATOMIC_SPECIES
Br 79.90 Br.upf
S 32.06 S.upf
Ti 47.87 Ti.upf
ATOMIC_POSITIONS angstrom
Br 6.2440 5.6815 2.3555
Br 5.1087 2.3555 0.9704
Br 5.1087 4.2963 5.6815
Br 6.2440 0.9704 4.2963
S 3.4058 3.3259 3.3259
S 2.2706 0.0000 0.0000
Ti 5.6764 3.3259 3.3259
Ti 0.0000 0.0000 0.0000
CELL_PARAMETERS angstrom
4.5411 0.0000 0.0000
2.2706 6.6519 0.0000
2.2706 0.0000 6.6519
```

Output
Electronic total energy (eV/cell): -136.64
Size of the total moment (μB per atom): 0.0000
Crystal system: tetragonal
Raw formation energy (eV/atom): -0.936

[4]
Density functional theory data (meta-GGA SCAN) for a crystal of WSBr3 relaxed with PBEsol. Values from VASP.

Cell and atoms, written as Quantum ESPRESSO input:
```
&SYSTEM
  ibrav = 0, nat = 5, ntyp = 3
/
ATOMIC_SPECIES
W 183.84 W.upf
Br 79.90 Br.upf
S 32.06 S.upf
ATOMIC_POSITIONS angstrom
W 0.0000 0.0000 0.0000
Br 0.9992 -1.7951 1.3834
Br -1.9434 0.0991 1.5322
Br -1.1659 -1.7036 -1.3685
S -2.1101 -3.3996 1.5471
CELL_PARAMETERS angstrom
-3.8868 0.1982 3.0645
-2.3317 -3.4072 -2.7370
1.9983 -3.5901 2.7668
```

Output
Electronic total energy (eV/cell): -134.41
Size of the total moment (μB per atom): 0.0073
Crystal system: cubic
Raw formation energy (eV/atom): 0.657

[5]
Density functional theory data (meta-GGA SCAN) for a crystal of YSBr2 relaxed with PBEsol. Values from VASP.

Cell and atoms, written as Quantum ESPRESSO input:
```
&SYSTEM
  ibrav = 0, nat = 4, ntyp = 3
/
ATOMIC_SPECIES
Br 79.90 Br.upf
S 32.06 S.upf
Y 88.91 Y.upf
ATOMIC_POSITIONS angstrom
Br 1.9090 1.1022 7.1587
Br 5.7271 3.3065 2.6093
S 3.8181 2.2044 4.8840
Y 0.0000 0.0000 0.0000
CELL_PARAMETERS angstrom
3.8181 0.0000 0.0000
1.9090 3.3065 0.0000
1.9090 1.1022 9.7680
```

Output
Electronic total energy (eV/cell): -76.59
Size of the total moment (μB per atom): 0.5808
Crystal system: trigonal
E above lowest polymorph (meV per atom): 1378
Raw formation energy (eV/atom): -0.050

[6]
Density functional theory data (meta-GGA SCAN) for a crystal of YSBr2 relaxed with PBEsol. Values from VASP.

Cell and atoms, written as Quantum ESPRESSO input:
```
&SYSTEM
  ibrav = 0, nat = 8, ntyp = 3
/
ATOMIC_SPECIES
S 32.06 S.upf
Br 79.90 Br.upf
Y 88.91 Y.upf
ATOMIC_POSITIONS angstrom
S 3.9472 3.5162 3.5162
S 2.6315 0.0000 0.0000
Br 5.9208 0.9775 2.5388
Br 7.2365 4.4937 0.9775
Br 7.2365 2.5388 6.0550
Br 5.9208 6.0550 4.4937
Y 0.0000 0.0000 0.0000
Y 6.5787 3.5162 3.5162
CELL_PARAMETERS angstrom
5.2629 0.0000 0.0000
2.6315 7.0325 0.0000
2.6315 0.0000 7.0325
```

Output
Electronic total energy (eV/cell): -164.20
Size of the total moment (μB per atom): 0.2512
Crystal system: tetragonal
E above lowest polymorph (meV per atom): 0
Raw formation energy (eV/atom): -1.428

Q: Which of these has the highest raw formation energy?
A: TeS3Br

Q: Among the records above, which one has the highest size of the total moment?
A: number 5

Q: raw formation energy of number 2 (Te2SBr)?
A: 0.279 eV/atom